1.
# Li3PIr

A relaxed structure of Li3PIr (PBE-GGA, Alexandria via LeMat-Bulk).

## Properties
DFT total energy, eV per cell: -17.39
Energy relative to the elements, eV per atom: 0.524
V, Å³/atom: 17.09
Excess energy over the best structure of this formula in the dataset, eV/f.u.: 0.00
Theoretical density, g/cm³: 4.743
Crystal system: cubic

The structure in CIF format:
```
data_Li3PIr
_chemical_formula_sum 'Li3 P1 Ir1'
_space_group_name_H-M_alt 'P m -3 m'
_space_group_IT_number 221
_space_group_name_Hall '-P 4 2 3'
_cell_length_a 4.404
_cell_length_b 4.404
_cell_length_c 4.404
_cell_angle_alpha 90.00
_cell_angle_beta 90.00
_cell_angle_gamma 90.00
loop_
_atom_site_label
_atom_site_fract_x
_atom_site_fract_y
_atom_site_fract_z
Li1 0.000 0.000 0.500
P1 0.000 0.000 0.000
Ir1 0.500 0.500 0.500
```



2.
# LiP3Ir

A relaxed structure of LiP3Ir (PBE-GGA, Alexandria via LeMat-Bulk).

## Properties
DFT total energy, eV per cell: -24.32
Energy relative to the elements, eV per atom: 0.537
V, Å³/atom: 20.64
Excess energy over the best structure of this formula in the dataset, eV/f.u.: 0.00
Theoretical density, g/cm³: 4.699
Crystal system: cubic

The structure in CIF format:
```
data_LiP3Ir
_chemical_formula_sum 'Li1 P3 Ir1'
_space_group_name_H-M_alt 'P m -3 m'
_space_group_IT_number 221
_space_group_name_Hall '-P 4 2 3'
_cell_length_a 4.691
_cell_length_b 4.691
_cell_length_c 4.691
_cell_angle_alpha 90.00
_cell_angle_beta 90.00
_cell_angle_gamma 90.00
loop_
_atom_site_label
_atom_site_fract_x
_atom_site_fract_y
_atom_site_fract_z
Li1 0.000 0.000 0.000
P1 0.000 0.500 0.500
Ir1 0.500 0.500 0.500
```



3.
# LiPIr2

A relaxed structure of LiPIr2 (PBE-GGA, Alexandria via LeMat-Bulk).

## Properties
DFT total energy, eV per cell: -25.36
Energy relative to the elements, eV per atom: -0.079
V, Å³/atom: 14.74
Theoretical density, g/cm³: 11.894
Crystal system: tetragonal

The structure in CIF format:
```
data_LiPIr2
_chemical_formula_sum 'Li1 P1 Ir2'
_space_group_name_H-M_alt 'P 4 m m'
_space_group_IT_number 99
_cell_length_a 2.797
_cell_length_b 2.797
_cell_length_c 7.535
_cell_angle_alpha 90.00
_cell_angle_beta 90.00
_cell_angle_gamma 90.00
loop_
_space_group_symop_operation_xyz
'x,y,z'
'-y,x,z'
'-x,-y,z'
'y,-x,z'
'-x,y,z'
'y,x,z'
'x,-y,z'
'-y,-x,z'
loop_
_atom_site_label
_atom_site_fract_x
_atom_site_fract_y
_atom_site_fract_z
Li1 0.000 0.000 0.000
P1 0.500 0.500 0.296
Ir1 0.000 0.000 0.483
Ir2 0.500 0.500 0.750
```



4.
# LiPIr

A relaxed structure of LiPIr (PBE-GGA, Alexandria via LeMat-Bulk).

## Properties
DFT total energy, eV per cell: -70.66
Energy relative to the elements, eV per atom: -0.494
V, Å³/atom: 13.98
Theoretical density, g/cm³: 9.112
Crystal system: cubic

The structure in CIF format:
```
data_LiPIr
_chemical_formula_sum 'Li4 P4 Ir4'
_space_group_name_H-M_alt 'F -4 3 m'
_space_group_IT_number 216
_space_group_name_Hall 'F -4 2 3'
_cell_length_a 5.515
_cell_length_b 5.515
_cell_length_c 5.515
_cell_angle_alpha 90.00
_cell_angle_beta 90.00
_cell_angle_gamma 90.00
loop_
_atom_site_label
_atom_site_fract_x
_atom_site_fract_y
_atom_site_fract_z
Li1 0.000 0.000 0.000
P1 0.250 0.250 0.750
Ir1 0.000 0.000 0.500
```



5.
# LiPa2P3Ir4

A relaxed structure of LiPa2P3Ir4 (PBE-GGA, Alexandria via LeMat-Bulk).

## Properties
DFT total energy, eV per cell: -81.32
Energy relative to the elements, eV per atom: -0.874
V, Å³/atom: 16.37
Theoretical density, g/cm³: 13.498
Crystal system: tetragonal

The structure in CIF format:
```
data_LiPa2P3Ir4
_chemical_formula_sum 'Li1 Pa2 P3 Ir4'
_space_group_name_H-M_alt 'P -4 m 2'
_space_group_IT_number 115
_cell_length_a 3.933
_cell_length_b 3.933
_cell_length_c 10.582
_cell_angle_alpha 90.00
_cell_angle_beta 90.00
_cell_angle_gamma 90.00
loop_
_space_group_symop_operation_xyz
'x,y,z'
'y,-x,-z'
'-x,-y,z'
'-y,x,-z'
'-x,y,z'
'-y,-x,-z'
'x,-y,z'
'y,x,-z'
loop_
_atom_site_label
_atom_site_fract_x
_atom_site_fract_y
_atom_site_fract_z
Li1 0.000 0.000 0.000
Pa1 0.000 0.500 0.750
P1 0.000 0.500 0.369
P2 0.500 0.500 0.000
Ir1 0.000 0.000 0.500
Ir2 0.000 0.500 0.153
Ir3 0.500 0.500 0.500
```



6.
# LiPaP2Ir5

A relaxed structure of LiPaP2Ir5 (PBE-GGA, Alexandria via LeMat-Bulk).

## Properties
DFT total energy, eV per cell: -67.95
Energy relative to the elements, eV per atom: -0.157
V, Å³/atom: 17.21
Theoretical density, g/cm³: 13.518
Crystal system: tetragonal

The structure in CIF format:
```
data_LiPaP2Ir5
_chemical_formula_sum 'Li1 Pa1 P2 Ir5'
_space_group_name_H-M_alt 'P 4/m m m'
_space_group_IT_number 123
_space_group_name_Hall '-P 4 2'
_cell_length_a 4.034
_cell_length_b 4.034
_cell_length_c 9.518
_cell_angle_alpha 90.00
_cell_angle_beta 90.00
_cell_angle_gamma 90.00
loop_
_atom_site_label
_atom_site_fract_x
_atom_site_fract_y
_atom_site_fract_z
Li1 0.000 0.000 0.000
Pa1 0.500 0.500 0.500
P1 0.000 0.000 0.261
Ir1 0.000 0.000 0.500
Ir2 0.000 0.500 0.150
```



7.
# Li2PIrPd

A relaxed structure of Li2PIrPd (PBE-GGA, Alexandria via LeMat-Bulk).

## Properties
DFT total energy, eV per cell: -21.03
Energy relative to the elements, eV per atom: 0.453
V, Å³/atom: 16.34
Theoretical density, g/cm³: 6.980
Crystal system: tetragonal

The structure in CIF format:
```
data_Li2PIrPd
_chemical_formula_sum 'Li2 P1 Ir1 Pd1'
_space_group_name_H-M_alt 'P 4/m m m'
_space_group_IT_number 123
_space_group_name_Hall '-P 4 2'
_cell_length_a 4.324
_cell_length_b 4.324
_cell_length_c 4.370
_cell_angle_alpha 90.00
_cell_angle_beta 90.00
_cell_angle_gamma 90.00
loop_
_atom_site_label
_atom_site_fract_x
_atom_site_fract_y
_atom_site_fract_z
Li1 0.000 0.500 0.000
P1 0.000 0.000 0.000
Ir1 0.500 0.500 0.500
Pd1 0.000 0.000 0.500
```



8.
# LiPm2P3Ir4

A relaxed structure of LiPm2P3Ir4 (PBE-GGA, Alexandria via LeMat-Bulk).

## Properties
DFT total energy, eV per cell: -72.44
Energy relative to the elements, eV per atom: -0.935
V, Å³/atom: 16.48
Theoretical density, g/cm³: 11.678
Crystal system: tetragonal

The structure in CIF format:
```
data_LiPm2P3Ir4
_chemical_formula_sum 'Li1 Pm2 P3 Ir4'
_space_group_name_H-M_alt 'P -4 m 2'
_space_group_IT_number 115
_cell_length_a 4.082
_cell_length_b 4.082
_cell_length_c 9.887
_cell_angle_alpha 90.00
_cell_angle_beta 90.00
_cell_angle_gamma 90.00
loop_
_space_group_symop_operation_xyz
'x,y,z'
'y,-x,-z'
'-x,-y,z'
'-y,x,-z'
'-x,y,z'
'-y,-x,-z'
'x,-y,z'
'y,x,-z'
loop_
_atom_site_label
_atom_site_fract_x
_atom_site_fract_y
_atom_site_fract_z
Li1 0.000 0.000 0.000
Pm1 0.000 0.500 0.756
P1 0.000 0.500 0.362
P2 0.500 0.500 0.000
Ir1 0.000 0.000 0.500
Ir2 0.000 0.500 0.129
Ir3 0.500 0.500 0.500
```



9.
# LiPr2P3Ir4

A relaxed structure of LiPr2P3Ir4 (PBE-GGA, Alexandria via LeMat-Bulk).

## Properties
DFT total energy, eV per cell: -72.25
Energy relative to the elements, eV per atom: -0.911
V, Å³/atom: 16.77
Theoretical density, g/cm³: 11.396
Crystal system: tetragonal

The structure in CIF format:
```
data_LiPr2P3Ir4
_chemical_formula_sum 'Li1 Pr2 P3 Ir4'
_space_group_name_H-M_alt 'P -4 m 2'
_space_group_IT_number 115
_cell_length_a 4.111
_cell_length_b 4.111
_cell_length_c 9.922
_cell_angle_alpha 90.00
_cell_angle_beta 90.00
_cell_angle_gamma 90.00
loop_
_space_group_symop_operation_xyz
'x,y,z'
'y,-x,-z'
'-x,-y,z'
'-y,x,-z'
'-x,y,z'
'-y,-x,-z'
'x,-y,z'
'y,x,-z'
loop_
_atom_site_label
_atom_site_fract_x
_atom_site_fract_y
_atom_site_fract_z
Li1 0.000 0.000 0.000
Pr1 0.000 0.500 0.756
P1 0.000 0.500 0.362
P2 0.500 0.500 0.000
Ir1 0.000 0.000 0.500
Ir2 0.000 0.500 0.129
Ir3 0.500 0.500 0.500
```



10.
# LiP2IrPt

A relaxed structure of LiP2IrPt (PBE-GGA, Alexandria via LeMat-Bulk).

## Properties
DFT total energy, eV per cell: -23.41
Energy relative to the elements, eV per atom: 0.845
V, Å³/atom: 14.45
Theoretical density, g/cm³: 10.482
Crystal system: tetragonal

The structure in CIF format:
```
data_LiP2IrPt
_chemical_formula_sum 'Li1 P2 Ir1 Pt1'
_space_group_name_H-M_alt 'P 4/m m m'
_space_group_IT_number 123
_space_group_name_Hall '-P 4 2'
_cell_length_a 4.199
_cell_length_b 4.199
_cell_length_c 4.099
_cell_angle_alpha 90.00
_cell_angle_beta 90.00
_cell_angle_gamma 90.00
loop_
_atom_site_label
_atom_site_fract_x
_atom_site_fract_y
_atom_site_fract_z
Li1 0.000 0.000 0.000
P1 0.000 0.500 0.000
Ir1 0.000 0.000 0.500
Pt1 0.500 0.500 0.500
```



11.
# RbLi2PIr

A relaxed structure of RbLi2PIr (PBE-GGA, Alexandria via LeMat-Bulk).

## Properties
DFT total energy, eV per cell: -20.64
Energy relative to the elements, eV per atom: -0.315
V, Å³/atom: 22.79
Theoretical density, g/cm³: 4.701
Crystal system: tetragonal

The structure in CIF format:
```
data_RbLi2PIr
_chemical_formula_sum 'Rb1 Li2 P1 Ir1'
_space_group_name_H-M_alt 'P 4/m m m'
_space_group_IT_number 123
_space_group_name_Hall '-P 4 2'
_cell_length_a 5.071
_cell_length_b 5.071
_cell_length_c 4.431
_cell_angle_alpha 90.00
_cell_angle_beta 90.00
_cell_angle_gamma 90.00
loop_
_atom_site_label
_atom_site_fract_x
_atom_site_fract_y
_atom_site_fract_z
Rb1 0.000 0.000 0.000
Li1 0.000 0.500 0.500
P1 0.500 0.500 0.000
Ir1 0.500 0.500 0.500
```



12.
# LiPIrRh

A relaxed structure of LiPIrRh (PBE-GGA, Alexandria via LeMat-Bulk).

## Properties
DFT total energy, eV per cell: -102.22
Energy relative to the elements, eV per atom: -0.505
V, Å³/atom: 12.10
Theoretical density, g/cm³: 11.426
Crystal system: cubic

The structure in CIF format:
```
data_LiPIrRh
_chemical_formula_sum 'Li4 P4 Ir4 Rh4'
_space_group_name_H-M_alt 'F -4 3 m'
_space_group_IT_number 216
_space_group_name_Hall 'F -4 2 3'
_cell_length_a 5.785
_cell_length_b 5.785
_cell_length_c 5.785
_cell_angle_alpha 90.00
_cell_angle_beta 90.00
_cell_angle_gamma 90.00
loop_
_atom_site_label
_atom_site_fract_x
_atom_site_fract_y
_atom_site_fract_z
Li1 0.000 0.000 0.000
P1 0.000 0.000 0.500
Ir1 0.250 0.250 0.250
Rh1 0.250 0.250 0.750
```



What did the ninth record say?
# LiPr2P3Ir4

A relaxed structure of LiPr2P3Ir4 (PBE-GGA, Alexandria via LeMat-Bulk).

## Properties
DFT total energy, eV per cell: -72.25
Energy relative to the elements, eV per atom: -0.911
V, Å³/atom: 16.77
Theoretical density, g/cm³: 11.396
Crystal system: tetragonal

The structure in CIF format:
```
data_LiPr2P3Ir4
_chemical_formula_sum 'Li1 Pr2 P3 Ir4'
_space_group_name_H-M_alt 'P -4 m 2'
_space_group_IT_number 115
_cell_length_a 4.111
_cell_length_b 4.111
_cell_length_c 9.922
_cell_angle_alpha 90.00
_cell_angle_beta 90.00
_cell_angle_gamma 90.00
loop_
_space_group_symop_operation_xyz
'x,y,z'
'y,-x,-z'
'-x,-y,z'
'-y,x,-z'
'-x,y,z'
'-y,-x,-z'
'x,-y,z'
'y,x,-z'
loop_
_atom_site_label
_atom_site_fract_x
_atom_site_fract_y
_atom_site_fract_z
Li1 0.000 0.000 0.000
Pr1 0.000 0.500 0.756
P1 0.000 0.500 0.362
P2 0.500 0.500 0.000
Ir1 0.000 0.000 0.500
Ir2 0.000 0.500 0.129
Ir3 0.500 0.500 0.500
```